No. 1
## Y2Er6Cd (PBE-GGA)

Data for a geometry-optimized Y2Er6Cd structure.

Cell and atoms, written as CIF:
```
data_Y2Er6Cd
_chemical_formula_sum 'Y4 Er12 Cd2'
_cell_length_a 10.442
_cell_length_b 10.442
_cell_length_c 4.921
_cell_angle_alpha 90.00
_cell_angle_beta 90.00
_cell_angle_gamma 90.00
_space_group_name_H-M_alt 'P 42/m n m'
_space_group_IT_number 136
_space_group_name_Hall '-P 4n 2n'
loop_
_atom_site_label
_atom_site_type_symbol
_atom_site_fract_x
_atom_site_fract_y
_atom_site_fract_z
Y1 Y 0.161 0.161 0.000
Er1 Er 0.002 0.666 0.500
Er2 Er 0.168 0.832 0.000
Cd1 Cd 0.000 0.000 0.500
```

The spin magnetization is 0.00 μB/cell. The density of states at the Fermi level is 13.88 states/eV/f.u. As for the energy of formation from the pure elements: -0.2 kcal/mol of atoms.



No. 2
## YEr5Cd6 (PBE-GGA)

Data for a geometry-optimized YEr5Cd6 structure.

Cell and atoms, written as CIF:
```
data_YEr5Cd6
_chemical_formula_sum 'Y2 Er10 Cd12'
_cell_length_a 5.248
_cell_length_b 15.786
_cell_length_c 7.447
_cell_angle_alpha 90.00
_cell_angle_beta 90.00
_cell_angle_gamma 90.00
_space_group_name_H-M_alt 'C m m m'
_space_group_IT_number 65
_space_group_name_Hall '-C 2 2'
loop_
_atom_site_label
_atom_site_type_symbol
_atom_site_fract_x
_atom_site_fract_y
_atom_site_fract_z
Y1 Y 0.000 0.000 0.000
Er1 Er 0.000 0.000 0.500
Er2 Er 0.000 0.333 0.000
Er3 Er 0.000 0.334 0.500
Cd1 Cd 0.000 0.167 0.252
Cd2 Cd 0.000 0.500 0.251
```

The spin magnetization is 0.00 μB/cell. The density of states at the Fermi level is 11.14 states/eV/f.u. As for the energy of formation from the pure elements: -7.5 kcal/mol of atoms.



No. 3
## Y2Er3Cd4 (PBE-GGA)

Data for a geometry-optimized Y2Er3Cd4 structure.

Cell and atoms, written as CIF:
```
data_Y2Er3Cd4
_chemical_formula_sum 'Y8 Er12 Cd16'
_cell_length_a 6.690
_cell_length_b 18.527
_cell_length_c 8.049
_cell_angle_alpha 90.00
_cell_angle_beta 90.00
_cell_angle_gamma 90.00
_space_group_name_H-M_alt 'C m c e'
_space_group_IT_number 64
_space_group_name_Hall '-C 2ac 2'
loop_
_atom_site_label
_atom_site_type_symbol
_atom_site_fract_x
_atom_site_fract_y
_atom_site_fract_z
Y1 Y 0.000 0.093 0.100
Er1 Er 0.000 0.000 0.500
Er2 Er 0.250 0.244 0.750
Cd1 Cd 0.000 0.161 0.480
Cd2 Cd 0.250 0.075 0.750
```

The spin magnetization is 0.00 μB/cell. The density of states at the Fermi level is 7.52 states/eV/f.u. As for the energy of formation from the pure elements: -3.7 kcal/mol of atoms.



No. 4
## Y3Er2Cd (PBE-GGA)

Data for a geometry-optimized Y3Er2Cd structure.

Cell and atoms, written as CIF:
```
data_Y3Er2Cd
_chemical_formula_sum 'Y3 Er2 Cd1'
_cell_length_a 3.564
_cell_length_b 3.564
_cell_length_c 14.121
_cell_angle_alpha 90.00
_cell_angle_beta 90.00
_cell_angle_gamma 90.00
_space_group_name_H-M_alt 'P 4/m m m'
_space_group_IT_number 123
_space_group_name_Hall '-P 4 2'
loop_
_atom_site_label
_atom_site_type_symbol
_atom_site_fract_x
_atom_site_fract_y
_atom_site_fract_z
Y1 Y 0.000 0.000 0.000
Y2 Y 0.000 0.000 0.352
Er1 Er 0.500 0.500 0.176
Cd1 Cd 0.500 0.500 0.500
```

The spin magnetization is 0.00 μB/cell. The density of states at the Fermi level is 8.96 states/eV/f.u. As for the energy of formation from the pure elements: -2.1 kcal/mol of atoms.



Question: What is the spin magnetization in the first record?
Answer: 0.00 μB/cell



Question: What is the formula in the third record?
Answer: Y2Er3Cd4



Question: What is the formula in the fourth record?
Answer: Y3Er2Cd



Question: energy of formation from the pure elements of number 4 (Y3Er2Cd)?
Answer: -2.1 kcal/mol of atoms